Computed, not measured: crystalline NbW3S8 at its relaxed geometry at the PBEsol level of DFT.

Values from the calculation:
E   -8.21 eV/atom

Cell lengths 3.187, 5.527, 12.257 Å; angles 90.00, 90.00, 90.00 degrees
Fractional positions:
S  0.000  0.661  0.370
S  0.000  0.661  0.630
S  0.500  0.833  0.873
S  0.500  0.172  0.627
S  0.000  0.333  0.873
S  0.500  0.833  0.127
S  0.500  0.172  0.373
S  0.000  0.333  0.127
W  0.000  0.667  0.000
W  0.000  0.337  0.500
W  0.500  0.167  0.000
Nb  0.500  0.829  0.500

=====

Computed, not measured: crystalline ErTlW2O8 at its relaxed geometry at the PBEsol level of DFT.

Values from the calculation:
E   -8.81 eV/atom

Cell lengths 7.428, 7.442, 7.442 Å; angles 91.32, 117.76, 62.24 degrees
Fractional positions:
O  0.446  0.237  0.620
O  0.554  0.763  0.380
O  0.469  0.587  0.631
O  0.969  0.369  0.413
O  0.189  0.789  0.041
O  0.621  0.620  0.063
O  0.811  0.211  0.959
O  0.946  0.380  0.763
O  0.031  0.631  0.587
O  0.121  0.937  0.380
O  0.379  0.380  0.937
O  0.689  0.959  0.211
O  0.054  0.620  0.237
O  0.879  0.063  0.620
O  0.531  0.413  0.369
O  0.311  0.041  0.789
Tl  0.750  0.792  0.792
Tl  0.250  0.208  0.208
Er  0.250  0.772  0.772
Er  0.750  0.228  0.228
W  0.770  0.695  0.299
W  0.730  0.299  0.695
W  0.230  0.305  0.701
W  0.270  0.701  0.305

=====

Computed, not measured: crystalline K2TlOs at its relaxed geometry at the PBEsol level of DFT.

Values from the calculation:
Energy relative to the lowest polymorph listed for this composition   0.711 eV/atom
Energy of formation from the pure elements   5.7 eV per formula unit

Cell lengths 5.431, 5.431, 5.431 Å; angles 60.00, 60.00, 60.00 degrees
Fractional positions:
Os  0.000  0.000  0.000
K  0.750  0.750  0.750
K  0.250  0.250  0.250
Tl  0.500  0.500  0.500

=====

Computed, not measured: crystalline ScTePb2 at its relaxed geometry at the PBEsol level of DFT.

Values from the calculation:
E   -4.85 eV/atom

Cell lengths 3.627, 5.430, 6.456 Å; angles 117.77, 106.32, 90.00 degrees
Fractional positions:
Te  0.220  0.674  0.439
Pb  0.992  0.028  0.985
Pb  0.767  0.221  0.533
Sc  0.521  0.577  0.043

=====

Computed, not measured: crystalline CuAsPbO4 at its relaxed geometry at the PBEsol level of DFT.

Values from the calculation:
E   -5.99 eV/atom

Cell lengths 4.883, 5.773, 7.821 Å; angles 79.90, 74.05, 84.80 degrees
Fractional positions:
Cu  0.374  0.809  0.992
Cu  0.626  0.191  0.008
O  0.219  0.971  0.816
O  0.730  0.092  0.561
O  0.514  0.623  0.168
O  0.270  0.908  0.439
O  0.486  0.377  0.832
O  0.777  0.619  0.439
O  0.781  0.029  0.184
O  0.223  0.381  0.561
Pb  0.076  0.286  0.313
Pb  0.924  0.714  0.687
As  0.419  0.206  0.688
As  0.581  0.794  0.312

=====

Computed, not measured: crystalline AlRu2Cl at its relaxed geometry at the PBEsol level of DFT.

Values from the calculation:
Energy relative to the lowest polymorph listed for this composition   0.006 eV/atom

Cell lengths 2.824, 2.824, 7.305 Å; angles 90.00, 90.00, 90.00 degrees
Fractional positions:
Ru  0.000  0.000  0.018
Ru  0.500  0.500  0.244
Al  0.000  0.000  0.472
Cl  0.500  0.500  0.766

=====

Computed, not measured: crystalline AlCd2Cu at its relaxed geometry at the PBEsol level of DFT.

Values from the calculation:
Energy of formation from the pure elements   0.1 eV per formula unit

Cell lengths 2.909, 2.909, 8.101 Å; angles 90.00, 90.00, 90.00 degrees
Fractional positions:
Cd  0.500  0.500  0.286
Cd  0.000  0.000  0.987
Al  0.500  0.500  0.706
Cu  0.000  0.000  0.521

=====

Computed, not measured: crystalline LaIn3H at its relaxed geometry at the PBEsol level of DFT.

Values from the calculation:
E   -3.73 eV/atom

Cell lengths 4.745, 4.745, 4.745 Å; angles 90.00, 90.00, 90.00 degrees
Fractional positions:
H  0.000  0.000  0.000
In  0.500  0.000  0.000
In  0.000  0.000  0.500
In  0.000  0.500  0.000
La  0.500  0.500  0.500

=====

Computed, not measured: crystalline LiY2Ta at its relaxed geometry at the PBEsol level of DFT.

Values from the calculation:
Energy relative to the lowest polymorph listed for this composition   0.000 eV/atom
Energy of formation from the pure elements   1.7 eV per formula unit

Cell lengths 5.082, 5.082, 5.082 Å; angles 60.00, 60.00, 60.00 degrees
Fractional positions:
Ta  0.500  0.500  0.500
Y  0.750  0.750  0.750
Y  0.250  0.250  0.250
Li  0.000  0.000  0.000

=====

Computed, not measured: crystalline La3RhS at its relaxed geometry at the PBEsol level of DFT.

Values from the calculation:
E   -6.12 eV/atom

Cell lengths 5.317, 5.317, 5.317 Å; angles 90.00, 90.00, 90.00 degrees
Fractional positions:
La  0.000  0.000  0.500
La  0.500  0.000  0.000
La  0.000  0.500  0.000
Rh  0.500  0.500  0.500
S  0.000  0.000  0.000

=====

Computed, not measured: crystalline Nd2Sb4Ir3 at its relaxed geometry at the PBEsol level of DFT.

Values from the calculation:
E   -7.16 eV/atom

Cell lengths 4.519, 10.953, 16.090 Å; angles 90.00, 90.00, 90.00 degrees
Fractional positions:
Sb  0.750  0.724  0.350
Sb  0.250  0.438  0.393
Sb  0.750  0.938  0.107
Sb  0.250  0.053  0.432
Sb  0.750  0.562  0.607
Sb  0.750  0.553  0.068
Sb  0.250  0.613  0.212
Sb  0.750  0.947  0.568
Sb  0.250  0.447  0.932
Sb  0.750  0.387  0.788
Sb  0.250  0.224  0.150
Sb  0.750  0.113  0.288
Sb  0.250  0.276  0.650
Sb  0.750  0.776  0.850
Sb  0.250  0.887  0.712
Sb  0.250  0.062  0.893
Ir  0.750  0.966  0.944
Ir  0.250  0.057  0.593
Ir  0.750  0.534  0.444
Ir  0.750  0.724  0.182
Ir  0.750  0.557  0.907
Ir  0.250  0.466  0.556
Ir  0.250  0.224  0.318
Ir  0.250  0.276  0.818
Ir  0.750  0.943  0.407
Ir  0.250  0.034  0.056
Ir  0.750  0.776  0.682
Ir  0.250  0.443  0.093
Nd  0.250  0.748  0.507
Nd  0.750  0.252  0.493
Nd  0.750  0.410  0.248
Nd  0.250  0.752  0.007
Nd  0.750  0.090  0.748
Nd  0.250  0.910  0.252
Nd  0.250  0.590  0.752
Nd  0.750  0.248  0.993

=====

Computed, not measured: crystalline GdLu3S6 at its relaxed geometry at the PBEsol level of DFT.

Values from the calculation:
E   -7.66 eV/atom

Cell lengths 3.831, 10.714, 10.991 Å; angles 109.01, 90.00, 90.00 degrees
Fractional positions:
Lu  0.750  0.938  0.333
Lu  0.250  0.062  0.667
Lu  0.250  0.340  0.415
Lu  0.250  0.819  0.999
Lu  0.750  0.660  0.585
Lu  0.750  0.181  0.001
S  0.250  0.761  0.226
S  0.750  0.980  0.114
S  0.750  0.417  0.596
S  0.250  0.696  0.750
S  0.250  0.020  0.886
S  0.750  0.239  0.774
S  0.750  0.616  0.964
S  0.250  0.106  0.441
S  0.250  0.583  0.404
S  0.750  0.304  0.250
S  0.750  0.894  0.559
S  0.250  0.384  0.036
Gd  0.750  0.548  0.195
Gd  0.250  0.452  0.805